[1]
Entry from Alexandria via LeMat-Bulk: a geometry-optimized CaNd2Au structure (GGA-PBE).

Output
**Energy**: -16.07 eV for the cell shown
**Energy relative to the lowest polymorph listed for this composition**: 52 meV/atom

Cell and atoms, written as POSCAR:
```
CaNd2Au
1.0
3.730 0.000 0.000
0.000 3.730 0.000
0.000 0.000 9.470
Nd Au Ca
2 1 1
direct
0.000 0.000 0.813
0.000 0.000 0.187
0.500 0.500 0.000
0.500 0.500 0.500
```

[2]
Entry from Alexandria via LeMat-Bulk: a geometry-optimized PmZn2Ag structure (GGA-PBE).

Output
**Energy**: -11.30 eV for the cell shown
**Energy relative to the lowest polymorph listed for this composition**: 14 meV/atom

Cell and atoms, written as POSCAR:
```
PmZn2Ag
1.0
4.815 0.000 0.000
2.407 4.170 0.000
2.407 1.390 3.931
Pm Ag Zn
1 1 2
direct
0.500 0.500 0.500
0.000 0.000 0.000
0.250 0.250 0.250
0.750 0.750 0.750
```

Number 1: DFT formation energy -0.314 eV/atom. Number 2: DFT formation energy -0.288 eV/atom.